[1]
Computed, not measured: an optimized crystal structure of KYTa2 at the GGA-PBE level of DFT.

**Energy relative to the elements**: 1.18 eV per atom
**Distance to the lowest polymorph of the same formula**: 255 kJ/mol of formula units
**ρ**: 8.5 g/cm3

Cell lengths 3.110, 5.279, 11.686 Å; angles 90.00, 90.00, 90.00 degrees
Space group Immm (No. 71)
Symmetry-distinct sites (fractional):
K 0.000 0.000 0.000 [2 per cell]
Y 0.000 0.000 0.500 [2 per cell]
Ta 0.000 0.500 0.237 [4 per cell]

---

[2]
Computed, not measured: an optimized crystal structure of KY2Ta at the GGA-PBE level of DFT.

**Energy relative to the elements**: 0.71 eV per atom
**Distance to the lowest polymorph of the same formula**: 162 kJ/mol of formula units
**ρ**: 4.9 g/cm3

Cell lengths 5.542, 6.974, 7.773 Å; angles 111.03, 103.00, 92.47 degrees
Space group P1 (No. 1)
Symmetry-distinct sites (fractional):
K 0.000 0.000 0.000 [1 per cell]
K 0.350 0.887 0.722 [1 per cell]
Y 0.158 0.578 0.195 [1 per cell]
Y 0.574 0.447 0.906 [1 per cell]
Y 0.702 0.014 0.388 [1 per cell]
Y 0.727 0.511 0.443 [1 per cell]
Ta 0.024 0.380 0.752 [1 per cell]
Ta 0.232 0.301 0.490 [1 per cell]